This record from Alexandria via LeMat-Bulk describes Pm2Te3F after structural relaxation. The functional is GGA-PBE.

Output
Uncorrected formation energy ... -1820 meV/atom
Magnetization ... 0.00 Bohr magnetons per cell

Unit cell a=11.9133 b=4.2442 c=13.2273 alpha=90.00 beta=90.00 gamma=90.00
Fractional positions:
Pm 0.0582 0.2500 0.1739
Pm 0.1958 0.2500 0.5201
Pm 0.3042 0.7500 0.0201
Pm 0.4418 0.7500 0.6739
Pm 0.5582 0.2500 0.3261
Pm 0.6958 0.2500 0.9799
Pm 0.8042 0.7500 0.4799
Pm 0.9418 0.7500 0.8261
Te 0.0677 0.7500 0.3779
Te 0.1214 0.2500 0.9333
Te 0.1691 0.7500 0.6952
Te 0.3309 0.2500 0.1952
Te 0.3786 0.7500 0.4333
Te 0.4323 0.2500 0.8779
Te 0.5677 0.7500 0.1221
Te 0.6214 0.2500 0.5667
Te 0.6691 0.7500 0.8048
Te 0.8309 0.2500 0.3048
Te 0.8786 0.7500 0.0667
Te 0.9323 0.2500 0.6221
F 0.1358 0.7500 0.1290
F 0.3642 0.2500 0.6290
F 0.6358 0.7500 0.3710
F 0.8642 0.2500 0.8710